# PdN (PBE, optimized geometry)
# Uncorrected formation energy   1.086 eV/atom
# Energy above the lowest structure with this stoichiometry   765.4 meV per atom
# Final energy   -5.673 eV/atom
# Fermi-level density of states   0.764 states/eV per atom
data_PdN
_symmetry_space_group_name_H-M 'P 63/m'
_symmetry_Int_Tables_number 176
_symmetry_space_group_name_Hall '-P 6c'
_cell_length_a 8.2097
_cell_length_b 8.2097
_cell_length_c 3.1142
_cell_angle_alpha 90.00
_cell_angle_beta 90.00
_cell_angle_gamma 120.00
loop_
_atom_site_label
_atom_site_fract_x
_atom_site_fract_y
_atom_site_fract_z
_atom_site_occupancy
Pd1 0.1367 0.6774 0.2500 1
N1 0.0529 0.3868 0.2500 1



# PdN (PBE, optimized geometry)
# Uncorrected formation energy   1.147 eV/atom
# Energy above the lowest structure with this stoichiometry   825.5 meV per atom
# Final energy   -5.613 eV/atom
# Fermi-level density of states   1.087 states/eV per atom
data_PdN
_symmetry_space_group_name_H-M 'F m -3 m'
_symmetry_Int_Tables_number 225
_symmetry_space_group_name_Hall '-F 4 2 3'
_cell_length_a 4.4413
_cell_length_b 4.4413
_cell_length_c 4.4413
_cell_angle_alpha 90.00
_cell_angle_beta 90.00
_cell_angle_gamma 90.00
loop_
_atom_site_label
_atom_site_fract_x
_atom_site_fract_y
_atom_site_fract_z
_atom_site_occupancy
Pd1 0.0000 0.0000 0.0000 1
N1 0.0000 0.0000 0.5000 1



# PdN (PBE, optimized geometry)
# Uncorrected formation energy   1.038 eV/atom
# Energy above the lowest structure with this stoichiometry   716.5 meV per atom
# Final energy   -5.722 eV/atom
# Fermi-level density of states   0.610 states/eV per atom
data_PdN
_symmetry_space_group_name_H-M 'I -4 m 2'
_symmetry_Int_Tables_number 119
_symmetry_space_group_name_Hall 'I -4 -2'
_cell_length_a 3.0727
_cell_length_b 3.0727
_cell_length_c 5.5017
_cell_angle_alpha 90.00
_cell_angle_beta 90.00
_cell_angle_gamma 90.00
loop_
_atom_site_label
_atom_site_fract_x
_atom_site_fract_y
_atom_site_fract_z
_atom_site_occupancy
Pd1 0.0000 0.0000 0.0000 1
N1 0.0000 0.5000 0.2500 1



# PdN (PBE, optimized geometry)
# Uncorrected formation energy   1.309 eV/atom
# Energy above the lowest structure with this stoichiometry   987.8 meV per atom
# Final energy   -5.450 eV/atom
# Fermi-level density of states   0.862 states/eV per atom
data_PdN
_symmetry_space_group_name_H-M 'C m m m'
_symmetry_Int_Tables_number 65
_symmetry_space_group_name_Hall '-C 2 2'
_cell_length_a 2.9388
_cell_length_b 5.0710
_cell_length_c 3.7200
_cell_angle_alpha 90.00
_cell_angle_beta 90.00
_cell_angle_gamma 90.00
loop_
_atom_site_label
_atom_site_fract_x
_atom_site_fract_y
_atom_site_fract_z
_atom_site_occupancy
Pd1 0.0000 0.0000 0.0000 1
N1 0.0000 0.0000 0.5000 1



# PdN (PBE, optimized geometry)
# Uncorrected formation energy   1.056 eV/atom
# Energy above the lowest structure with this stoichiometry   734.7 meV per atom
# Final energy   -5.703 eV/atom
# Fermi-level density of states   0.847 states/eV per atom
data_PdN
_symmetry_space_group_name_H-M 'F -4 3 m'
_symmetry_Int_Tables_number 216
_symmetry_space_group_name_Hall 'F -4 2 3'
_cell_length_a 4.7485
_cell_length_b 4.7485
_cell_length_c 4.7485
_cell_angle_alpha 90.00
_cell_angle_beta 90.00
_cell_angle_gamma 90.00
loop_
_atom_site_label
_atom_site_fract_x
_atom_site_fract_y
_atom_site_fract_z
_atom_site_occupancy
Pd1 0.0000 0.0000 0.0000 1
N1 0.2500 0.2500 0.2500 1



# PdN (PBE, optimized geometry)
# Uncorrected formation energy   0.426 eV/atom
# Energy above the lowest structure with this stoichiometry   105.5 meV per atom
# Final energy   -6.333 eV/atom
# Fermi-level density of states   0.325 states/eV per atom
data_PdN
_symmetry_space_group_name_H-M 'P 1'
_symmetry_Int_Tables_number 1
_symmetry_space_group_name_Hall 'P 1'
_cell_length_a 2.9658
_cell_length_b 4.5749
_cell_length_c 5.0514
_cell_angle_alpha 102.99
_cell_angle_beta 96.66
_cell_angle_gamma 92.54
loop_
_atom_site_label
_atom_site_fract_x
_atom_site_fract_y
_atom_site_fract_z
_atom_site_occupancy
Pd1 0.0000 0.0000 0.0000 1
Pd2 0.4443 0.4718 0.8779 1
N1 0.0227 0.0028 0.3946 1
N2 0.0796 0.0901 0.6308 1



# PdN (PBE, optimized geometry)
# Uncorrected formation energy   1.019 eV/atom
# Energy above the lowest structure with this stoichiometry   698.0 meV per atom
# Final energy   -5.740 eV/atom
# Fermi-level density of states   0.312 states/eV per atom
data_PdN
_symmetry_space_group_name_H-M 'I 4/m'
_symmetry_Int_Tables_number 87
_symmetry_space_group_name_Hall '-I 4'
_cell_length_a 8.2425
_cell_length_b 8.2425
_cell_length_c 3.3483
_cell_angle_alpha 90.00
_cell_angle_beta 90.00
_cell_angle_gamma 90.00
loop_
_atom_site_label
_atom_site_fract_x
_atom_site_fract_y
_atom_site_fract_z
_atom_site_occupancy
Pd1 0.0874 0.2475 0.0000 1
N1 0.1429 0.6820 0.0000 1



# PdN (PBE, optimized geometry)
# Uncorrected formation energy   0.439 eV/atom
# Energy above the lowest structure with this stoichiometry   117.7 meV per atom
# Final energy   -6.320 eV/atom
# Fermi-level density of states   0.248 states/eV per atom
data_PdN
_symmetry_space_group_name_H-M 'C 1 m 1'
_symmetry_Int_Tables_number 8
_symmetry_space_group_name_Hall 'C -2y'
_cell_length_a 8.5967
_cell_length_b 2.9397
_cell_length_c 4.8359
_cell_angle_alpha 90.00
_cell_angle_beta 99.72
_cell_angle_gamma 90.00
loop_
_atom_site_label
_atom_site_fract_x
_atom_site_fract_y
_atom_site_fract_z
_atom_site_occupancy
Pd1 0.0000 0.0000 0.0000 1
Pd2 0.2452 0.0000 0.6670 1
N1 0.2258 0.0000 0.2440 1
N2 0.3187 0.0000 0.0846 1



# PdN4 (PBE, optimized geometry)
# Uncorrected formation energy   3.290 eV/atom
# Final energy   -4.409 eV/atom
# Fermi-level density of states   0.256 states/eV per atom
data_PdN4
_symmetry_space_group_name_H-M 'P m -3 m'
_symmetry_Int_Tables_number 221
_symmetry_space_group_name_Hall '-P 4 2 3'
_cell_length_a 4.1779
_cell_length_b 4.1779
_cell_length_c 4.1779
_cell_angle_alpha 90.00
_cell_angle_beta 90.00
_cell_angle_gamma 90.00
loop_
_atom_site_label
_atom_site_fract_x
_atom_site_fract_y
_atom_site_fract_z
_atom_site_occupancy
Pd1 0.0000 0.0000 0.0000 1
N1 0.0000 0.0000 0.5000 1
N2 0.5000 0.5000 0.5000 1



# PdN (PBE, optimized geometry)
# Uncorrected formation energy   1.065 eV/atom
# Energy above the lowest structure with this stoichiometry   743.6 meV per atom
# Final energy   -5.694 eV/atom
# Fermi-level density of states   1.022 states/eV per atom
data_PdN
_symmetry_space_group_name_H-M 'P 63 m c'
_symmetry_Int_Tables_number 186
_symmetry_space_group_name_Hall 'P 6c -2c'
_cell_length_a 3.2066
_cell_length_b 3.2066
_cell_length_c 5.9556
_cell_angle_alpha 90.00
_cell_angle_beta 90.00
_cell_angle_gamma 120.00
loop_
_atom_site_label
_atom_site_fract_x
_atom_site_fract_y
_atom_site_fract_z
_atom_site_occupancy
Pd1 0.3333 0.6667 0.0000 1
N1 0.3333 0.6667 0.6429 1



# Pm12Pd3N5 (PBE, optimized geometry)
# Uncorrected formation energy   -0.814 eV/atom
# Final energy   -6.524 eV/atom
# Fermi-level density of states   1.023 states/eV per atom
data_Pm12Pd3N5
_symmetry_space_group_name_H-M 'I a -3 d'
_symmetry_Int_Tables_number 230
_symmetry_space_group_name_Hall '-I 4bd 2c 3'
_cell_length_a 15.7699
_cell_length_b 15.7699
_cell_length_c 15.7699
_cell_angle_alpha 90.00
_cell_angle_beta 90.00
_cell_angle_gamma 90.00
loop_
_atom_site_label
_atom_site_fract_x
_atom_site_fract_y
_atom_site_fract_z
_atom_site_occupancy
Pm1 0.0331 0.0528 0.6494 1
Pd1 0.0000 0.2500 0.1250 1
N1 0.0000 0.0000 0.0000 1
N2 0.0000 0.2500 0.3750 1



# Pm2PdN (PBE, optimized geometry)
# Uncorrected formation energy   -0.588 eV/atom
# Energy above the lowest structure with this stoichiometry   333.4 meV per atom
# Final energy   -6.343 eV/atom
# Fermi-level density of states   0.800 states/eV per atom
data_Pm2PdN
_symmetry_space_group_name_H-M 'P 4/m m m'
_symmetry_Int_Tables_number 123
_symmetry_space_group_name_Hall '-P 4 2'
_cell_length_a 3.2628
_cell_length_b 3.2628
_cell_length_c 7.0035
_cell_angle_alpha 90.00
_cell_angle_beta 90.00
_cell_angle_gamma 90.00
loop_
_atom_site_label
_atom_site_fract_x
_atom_site_fract_y
_atom_site_fract_z
_atom_site_occupancy
Pm1 0.0000 0.0000 0.2106 1
Pd1 0.5000 0.5000 0.5000 1
N1 0.5000 0.5000 0.0000 1



# Pm6Pd2N (PBE, optimized geometry)
# Uncorrected formation energy   -0.678 eV/atom
# Final energy   -5.924 eV/atom
# Fermi-level density of states   0.958 states/eV per atom
data_Pm6Pd2N
_symmetry_space_group_name_H-M 'P 1 21/c 1'
_symmetry_Int_Tables_number 14
_symmetry_space_group_name_Hall '-P 2ybc'
_cell_length_a 6.6112
_cell_length_b 7.2431
_cell_length_c 11.8889
_cell_angle_alpha 90.00
_cell_angle_beta 122.95
_cell_angle_gamma 90.00
loop_
_atom_site_label
_atom_site_fract_x
_atom_site_fract_y
_atom_site_fract_z
_atom_site_occupancy
Pm1 0.1154 0.0311 0.2377 1
Pm2 0.2289 0.6940 0.0576 1
Pm3 0.3694 0.1736 0.0575 1
Pd1 0.3035 0.0987 0.7500 1
N1 0.0000 0.0000 0.0000 1



# Pm12Pd6N (PBE, optimized geometry)
# Uncorrected formation energy   -0.553 eV/atom
# Final energy   -5.632 eV/atom
# Fermi-level density of states   0.965 states/eV per atom
data_Pm12Pd6N
_symmetry_space_group_name_H-M 'R -3'
_symmetry_Int_Tables_number 148
_symmetry_space_group_name_Hall '-R 3'
_cell_length_a 12.3847
_cell_length_b 12.3847
_cell_length_c 12.1571
_cell_angle_alpha 90.00
_cell_angle_beta 90.00
_cell_angle_gamma 120.00
loop_
_atom_site_label
_atom_site_fract_x
_atom_site_fract_y
_atom_site_fract_z
_atom_site_occupancy
Pm1 0.0224 0.2021 0.3901 1
Pm2 0.0384 0.1847 0.8816 1
Pd1 0.0465 0.2788 0.6484 1
N1 0.0000 0.0000 0.0000 1



# Pm2PdN (PBE, optimized geometry)
# Uncorrected formation energy   -0.921 eV/atom
# Energy above the lowest structure with this stoichiometry   0.0 meV per atom
# Final energy   -6.676 eV/atom
# Fermi-level density of states   0.583 states/eV per atom
data_Pm2PdN
_symmetry_space_group_name_H-M 'R -3 m'
_symmetry_Int_Tables_number 166
_symmetry_space_group_name_Hall '-R 3 2"'
_cell_length_a 3.6879
_cell_length_b 3.6879
_cell_length_c 21.0873
_cell_angle_alpha 90.00
_cell_angle_beta 90.00
_cell_angle_gamma 120.00
loop_
_atom_site_label
_atom_site_fract_x
_atom_site_fract_y
_atom_site_fract_z
_atom_site_occupancy
Pm1 0.0000 0.0000 0.2338 1
Pd1 0.0000 0.0000 0.0000 1
N1 0.0000 0.0000 0.5000 1



# Pm6PdN3 (PBE, optimized geometry)
# Uncorrected formation energy   -0.907 eV/atom
# Final energy   -6.775 eV/atom
# Fermi-level density of states   0.756 states/eV per atom
data_Pm6PdN3
_symmetry_space_group_name_H-M 'P 1 21/m 1'
_symmetry_Int_Tables_number 11
_symmetry_space_group_name_Hall '-P 2yb'
_cell_length_a 11.0121
_cell_length_b 3.6196
_cell_length_c 12.4595
_cell_angle_alpha 90.00
_cell_angle_beta 113.08
_cell_angle_gamma 90.00
loop_
_atom_site_label
_atom_site_fract_x
_atom_site_fract_y
_atom_site_fract_z
_atom_site_occupancy
Pm1 0.0320 0.2500 0.2814 1
Pm2 0.1454 0.2500 0.5797 1
Pm3 0.1584 0.7500 0.1145 1
Pm4 0.3168 0.7500 0.4197 1
Pm5 0.3539 0.7500 0.9269 1
Pm6 0.4633 0.2500 0.2316 1
Pd1 0.1341 0.2500 0.9213 1
N1 0.0913 0.7500 0.4350 1
N2 0.2563 0.2500 0.2731 1
N3 0.4881 0.2500 0.8770 1



# Pm4PdN (PBE, optimized geometry)
# Uncorrected formation energy   -0.570 eV/atom
# Final energy   -5.990 eV/atom
# Fermi-level density of states   1.128 states/eV per atom
data_Pm4PdN
_symmetry_space_group_name_H-M 'I 41 m d'
_symmetry_Int_Tables_number 109
_symmetry_space_group_name_Hall 'I 4bw -2'
_cell_length_a 9.0052
_cell_length_b 9.0052
_cell_length_c 8.0922
_cell_angle_alpha 90.00
_cell_angle_beta 90.00
_cell_angle_gamma 90.00
loop_
_atom_site_label
_atom_site_fract_x
_atom_site_fract_y
_atom_site_fract_z
_atom_site_occupancy
Pm1 0.0000 0.1907 0.0000 1
Pm2 0.0000 0.2036 0.4387 1
Pd1 0.0000 0.0000 0.7090 1
N1 0.0000 0.0000 0.2303 1



# Pm2ThPdN4 (PBE, optimized geometry)
# Uncorrected formation energy   -0.927 eV/atom
# Final energy   -7.854 eV/atom
# Fermi-level density of states   0.692 states/eV per atom
data_Pm2ThPdN4
_symmetry_space_group_name_H-M 'C m c m'
_symmetry_Int_Tables_number 63
_symmetry_space_group_name_Hall '-C 2c 2'
_cell_length_a 3.5178
_cell_length_b 11.9245
_cell_length_c 11.9694
_cell_angle_alpha 90.00
_cell_angle_beta 90.00
_cell_angle_gamma 90.00
loop_
_atom_site_label
_atom_site_fract_x
_atom_site_fract_y
_atom_site_fract_z
_atom_site_occupancy
Pm1 0.0000 0.1282 0.0521 1
Th1 0.0000 0.3863 0.2500 1
Pd1 0.0000 0.3514 0.7500 1
N1 0.0000 0.0379 0.2500 1
N2 0.0000 0.2156 0.6311 1
N3 0.0000 0.5000 0.0000 1



# PmTh2PdN4 (PBE, optimized geometry)
# Uncorrected formation energy   -1.081 eV/atom
# Final energy   -8.341 eV/atom
# Fermi-level density of states   0.510 states/eV per atom
data_PmTh2PdN4
_symmetry_space_group_name_H-M 'C m c m'
_symmetry_Int_Tables_number 63
_symmetry_space_group_name_Hall '-C 2c 2'
_cell_length_a 3.5591
_cell_length_b 12.0333
_cell_length_c 12.1654
_cell_angle_alpha 90.00
_cell_angle_beta 90.00
_cell_angle_gamma 90.00
loop_
_atom_site_label
_atom_site_fract_x
_atom_site_fract_y
_atom_site_fract_z
_atom_site_occupancy
Pm1 0.0000 0.1145 0.2500 1
Th1 0.0000 0.3707 0.0571 1
Pd1 0.0000 0.1464 0.7500 1
N1 0.0000 0.0000 0.0000 1
N2 0.0000 0.2725 0.6134 1
N3 0.0000 0.4645 0.2500 1